{
  "formula": "CsNb3Au",
  "functional": "GGA-PBEsol",
  "state": "optimized geometry",
  "lattice_angstrom": [[5.113, 0.000, 0.000], [0.000, 5.113, 0.000], [0.000, 0.000, 5.113]],
  "species": ["Cs", "Nb", "Nb", "Nb", "Au"],
  "fractional_positions": [[0.000, 0.000, 0.000], [0.000, 0.500, 0.500], [0.500, 0.000, 0.500], [0.500, 0.500, 0.000], [0.500, 0.500, 0.500]],
  "formation_enthalpy_0k_ev_per_atom": 1.84,
  "m_tot_mub_per_cell": 2.1,
  "spacegroup": "Pm-3m"
}

{
  "formula": "LaSb3",
  "functional": "GGA-PBEsol",
  "state": "optimized geometry",
  "lattice_angstrom": [[-2.264, 2.264, 5.333], [2.264, -2.264, 5.333], [2.264, 2.264, -5.333]],
  "species": ["La", "Sb", "Sb", "Sb"],
  "fractional_positions": [[0.000, 0.000, 0.000], [0.250, 0.750, 0.500], [0.500, 0.500, 0.000], [0.750, 0.250, 0.500]],
  "m_tot_mub_per_cell": 0.0,
  "spacegroup": "I4/mmm",
  "raw_formation_energy_ev_per_fu": -2.5
}

{
  "formula": "CdInHg2",
  "functional": "GGA-PBEsol",
  "state": "optimized geometry",
  "lattice_angstrom": [[3.335, 0.000, 0.000], [0.000, 3.335, 0.000], [0.000, 0.000, 8.268]],
  "species": ["Cd", "In", "Hg", "Hg"],
  "fractional_positions": [[0.000, 0.000, 0.000], [0.000, 0.000, 0.500], [0.500, 0.500, 0.240], [0.500, 0.500, 0.760]],
  "formation_enthalpy_0k_ev_per_atom": -0.01,
  "m_tot_mub_per_cell": 0.0,
  "spacegroup": "P4/mmm"
}

{
  "formula": "RbCuAs2Os",
  "functional": "GGA-PBEsol",
  "state": "optimized geometry",
  "lattice_angstrom": [[4.628, 0.000, 0.000], [0.000, 4.628, 0.000], [0.000, 0.000, 4.974]],
  "species": ["Rb", "Cu", "As", "As", "Os"],
  "fractional_positions": [[0.000, 0.000, 0.000], [0.000, 0.000, 0.500], [0.000, 0.500, 0.500], [0.500, 0.000, 0.500], [0.500, 0.500, 0.000]],
  "formation_enthalpy_0k_ev_per_atom": 1.52,
  "m_tot_mub_per_cell": 1.5,
  "spacegroup": "P4/mmm"
}

{
  "formula": "KOs3Pb",
  "functional": "GGA-PBEsol",
  "state": "optimized geometry",
  "lattice_angstrom": [[4.635, 0.000, 0.000], [0.000, 4.635, 0.000], [0.000, 0.000, 4.635]],
  "species": ["K", "Os", "Os", "Os", "Pb"],
  "fractional_positions": [[0.000, 0.000, 0.000], [0.000, 0.000, 0.500], [0.000, 0.500, 0.000], [0.500, 0.000, 0.000], [0.500, 0.500, 0.500]],
  "formation_enthalpy_0k_ev_per_atom": 3.70,
  "m_tot_mub_per_cell": 1.6,
  "spacegroup": "Pm-3m"
}

{
  "formula": "TcPb2Br",
  "functional": "GGA-PBEsol",
  "state": "optimized geometry",
  "lattice_angstrom": [[3.197, 0.000, 0.000], [0.000, 3.197, 0.000], [0.000, 0.000, 8.993]],
  "species": ["Tc", "Pb", "Pb", "Br"],
  "fractional_positions": [[0.000, 0.000, 0.000], [0.000, 0.000, 0.468], [0.500, 0.500, 0.774], [0.500, 0.500, 0.146]],
  "m_tot_mub_per_cell": 0.0,
  "spacegroup": "P4mm",
  "raw_formation_energy_ev_per_fu": 1.7
}

{
  "formula": "Hg2IrBr",
  "functional": "GGA-PBEsol",
  "state": "optimized geometry",
  "lattice_angstrom": [[1.469, -2.770, 0.000], [1.469, 2.770, 0.000], [0.000, 0.000, 10.053]],
  "species": ["Hg", "Hg", "Ir", "Br"],
  "fractional_positions": [[0.000, 0.000, 0.000], [0.500, 0.500, 0.271], [0.000, 0.000, 0.502], [0.500, 0.500, 0.703]],
  "m_tot_mub_per_cell": 0.0,
  "spacegroup": "Cmm2",
  "raw_formation_energy_ev_per_fu": 1.9
}

{
  "formula": "Li2YTl2",
  "functional": "GGA-PBEsol",
  "state": "optimized geometry",
  "lattice_angstrom": [[-2.024, 2.024, 6.866], [2.024, -2.024, 6.866], [2.024, 2.024, -6.866]],
  "species": ["Li", "Li", "Y", "Tl", "Tl"],
  "fractional_positions": [[0.250, 0.750, 0.500], [0.750, 0.250, 0.500], [0.000, 0.000, 0.000], [0.389, 0.389, 0.000], [0.611, 0.611, 0.000]],
  "formation_enthalpy_0k_ev_per_atom": -0.29,
  "m_tot_mub_per_cell": 0.0,
  "spacegroup": "I4/mmm"
}

{
  "formula": "Nb2AsPb",
  "functional": "GGA-PBEsol",
  "state": "optimized geometry",
  "lattice_angstrom": [[0.000, 3.323, 3.323], [3.323, 0.000, 3.323], [3.323, 3.323, 0.000]],
  "species": ["Nb", "Nb", "As", "Pb"],
  "fractional_positions": [[0.250, 0.250, 0.250], [0.750, 0.750, 0.750], [0.000, 0.000, 0.000], [0.500, 0.500, 0.500]],
  "formation_enthalpy_0k_ev_per_atom": 0.09,
  "m_tot_mub_per_cell": 0.0,
  "spacegroup": "Fm-3m"
}

{
  "formula": "Cd3AsRu",
  "functional": "GGA-PBEsol",
  "state": "optimized geometry",
  "lattice_angstrom": [[4.977, 0.000, 0.000], [0.000, 4.977, 0.000], [0.000, 0.000, 4.977]],
  "species": ["Cd", "Cd", "Cd", "As", "Ru"],
  "fractional_positions": [[0.000, 0.000, 0.500], [0.000, 0.500, 0.000], [0.500, 0.000, 0.000], [0.000, 0.000, 0.000], [0.500, 0.500, 0.500]],
  "formation_enthalpy_0k_ev_per_atom": 1.28,
  "m_tot_mub_per_cell": 1.8,
  "spacegroup": "Pm-3m"
}

{
  "formula": "BeNi2Pb",
  "functional": "GGA-PBEsol",
  "state": "optimized geometry",
  "lattice_angstrom": [[0.000, 2.959, 2.959], [2.959, 0.000, 2.959], [2.959, 2.959, 0.000]],
  "species": ["Be", "Ni", "Ni", "Pb"],
  "fractional_positions": [[0.000, 0.000, 0.000], [0.500, 0.500, 0.500], [0.750, 0.750, 0.750], [0.250, 0.250, 0.250]],
  "formation_enthalpy_0k_ev_per_atom": 0.29,
  "m_tot_mub_per_cell": 0.0,
  "spacegroup": "F-43m"
}

{
  "formula": "TcRu2Br",
  "functional": "GGA-PBEsol",
  "state": "optimized geometry",
  "lattice_angstrom": [[2.852, 0.000, 0.000], [0.000, 2.852, 0.000], [0.000, 0.000, 7.150]],
  "species": ["Tc", "Ru", "Ru", "Br"],
  "fractional_positions": [[0.000, 0.000, 0.000], [0.000, 0.000, 0.516], [0.500, 0.500, 0.766], [0.500, 0.500, 0.257]],
  "m_tot_mub_per_cell": 0.0,
  "spacegroup": "P4mm",
  "raw_formation_energy_ev_per_fu": 2.5
}

{
  "formula": "Zn2Sb2Pb",
  "functional": "GGA-PBEsol",
  "state": "optimized geometry",
  "lattice_angstrom": [[-2.010, 2.010, 7.432], [2.010, -2.010, 7.432], [2.010, 2.010, -7.432]],
  "species": ["Zn", "Zn", "Sb", "Sb", "Pb"],
  "fractional_positions": [[0.250, 0.750, 0.500], [0.750, 0.250, 0.500], [0.124, 0.124, 0.000], [0.876, 0.876, 0.000], [0.500, 0.500, 0.000]],
  "m_tot_mub_per_cell": 0.0,
  "spacegroup": "I4/mmm",
  "raw_formation_energy_ev_per_fu": 0.3
}

{
  "formula": "NiTe2PdI",
  "functional": "GGA-PBEsol",
  "state": "optimized geometry",
  "lattice_angstrom": [[5.193, 0.000, 0.000], [0.000, 5.193, 0.000], [0.000, 0.000, 5.302]],
  "species": ["Ni", "Te", "Te", "Pd", "I"],
  "fractional_positions": [[0.000, 0.000, 0.000], [0.000, 0.500, 0.500], [0.500, 0.000, 0.500], [0.500, 0.500, 0.500], [0.500, 0.500, 0.000]],
  "m_tot_mub_per_cell": 1.6,
  "spacegroup": "P4/mmm",
  "raw_formation_energy_ev_per_fu": 4.3
}

{
  "formula": "La2P3H7O11",
  "functional": "GGA-PBEsol",
  "state": "optimized geometry",
  "lattice_angstrom": [[8.122, 0.000, 0.000], [-1.981, 8.055, 0.000], [-1.358, -4.310, 7.892]],
  "species": ["La", "La", "La", "La", "P", "P", "P", "P", "P", "P", "H", "H", "H", "H", "H", "H", "H", "H", "H", "H", "H", "H", "H", "H", "O", "O", "O", "O", "O", "O", "O", "O", "O", "O", "O", "O", "O", "O", "O", "O", "O", "O", "O", "O", "O", "O"],
  "fractional_positions": [[0.106, 0.291, 0.365], [0.309, 0.263, 0.986], [0.691, 0.737, 0.014], [0.894, 0.709, 0.635], [0.126, 0.886, 0.102], [0.332, 0.765, 0.737], [0.481, 0.663, 0.336], [0.519, 0.337, 0.664], [0.668, 0.235, 0.263], [0.874, 0.114, 0.898], [0.045, 0.882, 0.383], [0.077, 0.399, 0.780], [0.174, 0.892, 0.544], [0.230, 0.790, 0.144], [0.258, 0.567, 0.892], [0.405, 0.806, 0.397], [0.464, 0.762, 0.651], [0.536, 0.238, 0.349], [0.595, 0.194, 0.603], [0.742, 0.433, 0.108], [0.770, 0.210, 0.856], [0.826, 0.108, 0.456], [0.923, 0.601, 0.220], [0.955, 0.118, 0.617], [0.002, 0.756, 0.922], [0.008, 0.930, 0.226], [0.060, 0.816, 0.453], [0.163, 0.594, 0.614], [0.173, 0.451, 0.884], [0.246, 0.077, 0.134], [0.285, 0.945, 0.771], [0.340, 0.268, 0.537], [0.349, 0.478, 0.310], [0.402, 0.747, 0.893], [0.494, 0.628, 0.158], [0.506, 0.372, 0.842], [0.598, 0.253, 0.107], [0.651, 0.522, 0.690], [0.660, 0.732, 0.463], [0.715, 0.055, 0.229], [0.754, 0.923, 0.866], [0.827, 0.549, 0.116], [0.837, 0.406, 0.386], [0.940, 0.184, 0.547], [0.992, 0.070, 0.774], [0.998, 0.244, 0.078]],
  "dft_energy_ev_per_atom": -6.711,
  "m_tot_mub_per_cell": 0.0,
  "spacegroup": "P-1"
}

{
  "formula": "CdCo3Ir",
  "functional": "GGA-PBEsol",
  "state": "optimized geometry",
  "lattice_angstrom": [[4.487, 0.000, 0.000], [0.000, 4.487, 0.000], [0.000, 0.000, 4.487]],
  "species": ["Cd", "Co", "Co", "Co", "Ir"],
  "fractional_positions": [[0.000, 0.000, 0.000], [0.000, 0.500, 0.500], [0.500, 0.000, 0.500], [0.500, 0.500, 0.000], [0.500, 0.500, 0.500]],
  "formation_enthalpy_0k_ev_per_atom": 1.33,
  "m_tot_mub_per_cell": 5.7,
  "spacegroup": "Pm-3m"
}

{
  "formula": "TbAgW2O8",
  "functional": "GGA-PBEsol",
  "state": "optimized geometry",
  "lattice_angstrom": [[4.953, -5.363, 0.000], [4.953, 5.363, 0.000], [-4.360, 0.000, 5.697]],
  "species": ["Tb", "Tb", "Ag", "Ag", "W", "W", "W", "W", "O", "O", "O", "O", "O", "O", "O", "O", "O", "O", "O", "O", "O", "O", "O", "O"],
  "fractional_positions": [[0.194, 0.806, 0.000], [0.806, 0.194, 0.000], [0.187, 0.187, 0.519], [0.813, 0.813, 0.481], [0.290, 0.290, 0.025], [0.335, 0.665, 0.500], [0.665, 0.335, 0.500], [0.710, 0.710, 0.975], [0.055, 0.055, 0.859], [0.150, 0.397, 0.241], [0.184, 0.716, 0.647], [0.198, 0.460, 0.908], [0.284, 0.816, 0.353], [0.397, 0.150, 0.241], [0.460, 0.198, 0.908], [0.477, 0.477, 0.662], [0.523, 0.523, 0.338], [0.540, 0.802, 0.092], [0.603, 0.850, 0.759], [0.716, 0.184, 0.647], [0.802, 0.540, 0.092], [0.816, 0.284, 0.353], [0.850, 0.603, 0.759], [0.945, 0.945, 0.141]],
  "m_tot_mub_per_cell": 0.0,
  "spacegroup": "C2/m",
  "raw_formation_energy_ev_per_fu": -26.9
}

{
  "formula": "Nb3VSe6",
  "functional": "GGA-PBEsol",
  "state": "optimized geometry",
  "lattice_angstrom": [[5.979, 0.000, 0.000], [-2.990, 5.178, 0.000], [0.000, 0.000, 12.566]],
  "species": ["Nb", "Nb", "Nb", "Nb", "Nb", "Nb", "V", "V", "Se", "Se", "Se", "Se", "Se", "Se", "Se", "Se", "Se", "Se", "Se", "Se"],
  "fractional_positions": [[0.000, 0.000, 0.000], [0.000, 0.000, 0.500], [0.333, 0.667, 0.000], [0.333, 0.667, 0.500], [0.667, 0.333, 0.000], [0.667, 0.333, 0.500], [0.333, 0.667, 0.250], [0.667, 0.333, 0.750], [0.004, 0.333, 0.867], [0.004, 0.671, 0.633], [0.329, 0.333, 0.633], [0.329, 0.996, 0.867], [0.333, 0.004, 0.133], [0.333, 0.329, 0.367], [0.667, 0.671, 0.867], [0.667, 0.996, 0.633], [0.671, 0.004, 0.367], [0.671, 0.667, 0.133], [0.996, 0.329, 0.133], [0.996, 0.667, 0.367]],
  "m_tot_mub_per_cell": 4.0,
  "spacegroup": "P6_322",
  "raw_formation_energy_ev_per_fu": -9.4
}

{
  "formula": "AgH2Rh",
  "functional": "GGA-PBEsol",
  "state": "optimized geometry",
  "lattice_angstrom": [[-2.068, 2.068, 4.416], [2.068, -2.068, 4.416], [2.068, 2.068, -4.416]],
  "species": ["Ag", "Ag", "H", "H", "H", "H", "Rh", "Rh"],
  "fractional_positions": [[0.000, 0.000, 0.000], [0.750, 0.250, 0.500], [0.184, 0.625, 0.059], [0.375, 0.434, 0.559], [0.566, 0.125, 0.941], [0.875, 0.816, 0.441], [0.250, 0.750, 0.500], [0.500, 0.500, 0.000]],
  "dft_energy_ev_per_atom": -4.423,
  "m_tot_mub_per_cell": 0.0,
  "spacegroup": "I-42d"
}

{
  "formula": "AlAgGeN2",
  "functional": "GGA-PBEsol",
  "state": "optimized geometry",
  "lattice_angstrom": [[3.699, 0.000, 0.000], [0.000, 3.699, 0.000], [0.000, 0.000, 5.470]],
  "species": ["Al", "Ag", "Ge", "N", "N"],
  "fractional_positions": [[0.000, 0.000, 0.000], [0.500, 0.500, 0.000], [0.500, 0.500, 0.500], [0.000, 0.500, 0.500], [0.500, 0.000, 0.500]],
  "m_tot_mub_per_cell": 0.3,
  "spacegroup": "P4/mmm",
  "raw_formation_energy_ev_per_fu": 5.6
}